[1]
{"formula": "Na2ZnF4", "functional": "GGA-PBE", "state": "relaxed", "lattice_angstrom": [[-0.358, -3.183, 0.243], [5.489, -0.645, -0.362], [0.714, 0.781, 9.442]], "species": ["F", "F", "F", "F", "F", "F", "F", "F", "Na", "Na", "Na", "Na", "Zn", "Zn"], "fractional_positions": [[0.251, 0.790, 0.076], [0.749, 0.290, 0.424], [0.749, 0.210, 0.924], [0.251, 0.710, 0.576], [0.757, 0.821, 0.343], [0.757, 0.679, 0.843], [0.243, 0.179, 0.657], [0.243, 0.321, 0.157], [0.261, 0.542, 0.347], [0.739, 0.458, 0.653], [0.261, 0.958, 0.847], [0.739, 0.042, 0.153], [0.000, 0.500, 0.000], [0.000, 0.000, 0.500]], "e_tot_ev_per_atom": -4.11, "sg": "P2_1/c"}

[2]
{"formula": "Na2ZrF6", "functional": "GGA-PBE", "state": "relaxed", "lattice_angstrom": [[-0.267, -5.048, -1.891], [2.126, 1.579, -4.517], [14.293, -1.588, 6.171]], "species": ["F", "F", "F", "F", "F", "F", "F", "F", "F", "F", "F", "F", "F", "F", "F", "F", "F", "F", "F", "F", "F", "F", "F", "F", "Na", "Na", "Na", "Na", "Na", "Na", "Na", "Na", "Zr", "Zr", "Zr", "Zr"], "fractional_positions": [[0.093, 0.239, 0.860], [0.635, 0.816, 0.987], [0.941, 0.271, 0.685], [0.941, 0.229, 0.185], [0.475, 0.293, 0.170], [0.525, 0.793, 0.330], [0.365, 0.316, 0.513], [0.145, 0.722, 0.979], [0.907, 0.739, 0.640], [0.475, 0.207, 0.670], [0.855, 0.222, 0.521], [0.093, 0.261, 0.360], [0.059, 0.729, 0.315], [0.432, 0.694, 0.651], [0.145, 0.778, 0.479], [0.059, 0.771, 0.815], [0.568, 0.306, 0.349], [0.907, 0.761, 0.140], [0.432, 0.806, 0.151], [0.525, 0.707, 0.830], [0.855, 0.278, 0.021], [0.365, 0.184, 0.013], [0.568, 0.194, 0.849], [0.635, 0.684, 0.487], [0.826, 0.993, 0.406], [0.742, 0.960, 0.747], [0.742, 0.540, 0.247], [0.258, 0.040, 0.253], [0.174, 0.007, 0.594], [0.174, 0.493, 0.094], [0.258, 0.460, 0.753], [0.826, 0.507, 0.906], [0.320, 0.552, 0.400], [0.320, 0.948, 0.900], [0.680, 0.448, 0.600], [0.680, 0.052, 0.100]], "e_tot_ev_per_atom": -5.80, "sg": "P2_1/c"}

[3]
{"formula": "Na3ZrF6", "functional": "GGA-PBE", "state": "relaxed", "lattice_angstrom": [[-3.944, 2.114, -3.237], [1.767, -3.193, -4.239], [-1.174, -7.701, 5.312]], "species": ["Na", "Na", "Na", "Na", "Na", "Na", "F", "F", "F", "F", "F", "F", "F", "F", "F", "F", "F", "F", "Zr", "Zr"], "fractional_positions": [[0.717, 0.582, 0.238], [0.283, 0.082, 0.262], [0.500, 0.500, 0.500], [0.283, 0.418, 0.762], [0.500, 0.000, 0.000], [0.717, 0.918, 0.738], [0.100, 0.460, 0.249], [0.623, 0.835, 0.453], [0.714, 0.296, 0.398], [0.714, 0.204, 0.898], [0.286, 0.796, 0.102], [0.377, 0.165, 0.547], [0.377, 0.335, 0.047], [0.100, 0.040, 0.749], [0.900, 0.960, 0.251], [0.286, 0.704, 0.602], [0.900, 0.540, 0.751], [0.623, 0.665, 0.953], [0.000, 0.500, 0.000], [0.000, 0.000, 0.500]], "sg": "P2_1/c", "de_polymorph_mev_per_atom": 0}

[4]
{"formula": "Na3ZrF6", "functional": "GGA-PBE", "state": "relaxed", "lattice_angstrom": [[-0.533, -5.177, 1.629], [0.227, -1.711, -5.362], [7.810, -0.426, 0.467]], "species": ["Na", "Na", "Na", "Na", "Na", "Na", "F", "F", "F", "F", "F", "F", "F", "F", "F", "F", "F", "F", "Zr", "Zr"], "fractional_positions": [[0.750, 0.488, 0.250], [0.272, 0.404, 0.991], [0.227, 0.572, 0.509], [0.250, 0.988, 0.750], [0.773, 0.072, 0.491], [0.728, 0.904, 0.009], [0.067, 0.284, 0.352], [0.898, 0.530, 0.999], [0.585, 0.152, 0.203], [0.434, 0.692, 0.147], [0.102, 0.030, 0.001], [0.601, 0.446, 0.501], [0.399, 0.946, 0.499], [0.082, 0.323, 0.702], [0.415, 0.652, 0.797], [0.566, 0.192, 0.853], [0.933, 0.784, 0.648], [0.918, 0.823, 0.298], [0.749, 0.488, 0.750], [0.251, 0.988, 0.250]], "sg": "P2_1", "de_polymorph_mev_per_atom": 9}

[5]
{"formula": "Nb2F", "functional": "GGA-PBE", "state": "relaxed", "lattice_angstrom": [[3.230, -2.327, -3.545], [0.918, -5.244, 0.271], [-2.017, -3.254, -3.710]], "species": ["Nb", "Nb", "Nb", "Nb", "F", "F"], "fractional_positions": [[0.625, 0.125, 0.625], [0.625, 0.625, 0.125], [0.625, 0.625, 0.625], [0.125, 0.625, 0.625], [0.000, 0.000, 0.000], [0.250, 0.250, 0.250]], "sg": "Fd-3m", "de_polymorph_mev_per_atom": 221}

[6]
{"formula": "NbF2", "functional": "GGA-PBE", "state": "relaxed", "lattice_angstrom": [[-3.296, 2.617, 1.558], [-2.418, 2.494, -2.842], [-4.283, -1.055, -0.825]], "species": ["F", "F", "F", "F", "Nb", "Nb"], "fractional_positions": [[0.125, 0.625, 0.625], [0.625, 0.625, 0.125], [0.625, 0.125, 0.625], [0.625, 0.625, 0.625], [0.000, 0.000, 0.000], [0.250, 0.250, 0.250]], "sg": "Fd-3m", "de_polymorph_mev_per_atom": 988}

[7]
{"formula": "NbF2", "functional": "GGA-PBE", "state": "relaxed", "lattice_angstrom": [[3.366, 1.943, 5.496], [-3.366, 1.943, 5.496], [0.000, -3.886, 5.496]], "species": ["F", "F", "F", "F", "Nb", "Nb"], "fractional_positions": [[0.375, 0.875, 0.875], [0.875, 0.875, 0.375], [0.875, 0.375, 0.875], [0.875, 0.875, 0.875], [0.750, 0.750, 0.750], [0.000, 0.000, 0.000]], "sg": "Fd-3m", "de_polymorph_mev_per_atom": 528}

[8]
{"formula": "Nb2F", "functional": "GGA-PBE", "state": "relaxed", "lattice_angstrom": [[2.013, 0.104, 3.546], [0.427, 3.529, 2.000], [-2.031, 0.630, 3.481]], "species": ["Nb", "Nb", "F"], "fractional_positions": [[0.250, 0.250, 0.250], [0.750, 0.750, 0.750], [0.000, 0.000, 0.000]], "sg": "Fm-3m", "de_polymorph_mev_per_atom": 0}

[9]
{"formula": "NbF2", "functional": "GGA-PBE", "state": "relaxed", "lattice_angstrom": [[-2.230, -4.380, -0.074], [1.353, -0.610, -4.686], [3.077, -1.585, 1.095]], "species": ["F", "F", "F", "F", "Nb", "Nb"], "fractional_positions": [[0.316, 0.316, 0.000], [0.684, 0.684, 0.000], [0.816, 0.184, 0.500], [0.184, 0.816, 0.500], [0.500, 0.500, 0.500], [0.000, 0.000, 0.000]], "sg": "P4_2/mnm", "de_polymorph_mev_per_atom": 0}

[10]
{"formula": "NbF2", "functional": "GGA-PBE", "state": "relaxed", "lattice_angstrom": [[-2.591, -2.570, -0.528], [-3.206, 0.912, -1.577], [-0.773, -1.165, -3.412]], "species": ["F", "F", "Nb"], "fractional_positions": [[0.250, 0.250, 0.250], [0.750, 0.750, 0.750], [0.000, 0.000, 0.000]], "sg": "Fm-3m", "de_polymorph_mev_per_atom": 294}

[11]
{"formula": "Nb2F5", "functional": "GGA-PBE", "state": "relaxed", "lattice_angstrom": [[4.048, 4.048, 4.048], [4.048, -4.048, -4.048], [-4.048, 4.048, -4.048]], "species": ["F", "F", "F", "F", "F", "F", "F", "F", "F", "F", "F", "F", "F", "F", "F", "Nb", "Nb", "Nb", "Nb", "Nb", "Nb"], "fractional_positions": [[0.257, 0.000, 0.743], [0.257, 0.743, 0.000], [0.000, 0.743, 0.257], [0.486, 0.743, 0.743], [0.514, 0.257, 0.257], [0.500, 0.500, 0.000], [0.257, 0.257, 0.514], [0.000, 0.500, 0.500], [0.257, 0.514, 0.257], [0.743, 0.257, 0.000], [0.743, 0.000, 0.257], [0.743, 0.486, 0.743], [0.000, 0.257, 0.743], [0.500, 0.000, 0.500], [0.743, 0.743, 0.486], [0.757, 0.757, 0.000], [0.757, 0.000, 0.757], [0.000, 0.757, 0.757], [0.000, 0.243, 0.243], [0.243, 0.000, 0.243], [0.243, 0.243, 0.000]], "e_tot_ev_per_atom": -6.89, "sg": "Im-3m"}

[12]
{"formula": "Nd2NbF8", "functional": "GGA-PBE", "state": "relaxed", "lattice_angstrom": [[-2.599, 2.599, 5.748], [2.599, -2.599, 5.748], [2.599, 2.599, -5.748]], "species": ["F", "F", "F", "F", "F", "F", "F", "F", "Nd", "Nd", "Nb"], "fractional_positions": [[0.006, 0.388, 0.001], [0.374, 0.212, 0.560], [0.612, 0.613, 0.618], [0.387, 0.006, 0.999], [0.652, 0.814, 0.440], [0.788, 0.348, 0.163], [0.994, 0.994, 0.382], [0.186, 0.626, 0.837], [0.353, 0.353, 0.000], [0.647, 0.647, 0.000], [0.000, 0.000, 0.000]], "e_tot_ev_per_atom": -6.41, "sg": "I-4"}

What did the second record say?
{"formula": "Na2ZrF6", "functional": "GGA-PBE", "state": "relaxed", "lattice_angstrom": [[-0.267, -5.048, -1.891], [2.126, 1.579, -4.517], [14.293, -1.588, 6.171]], "species": ["F", "F", "F", "F", "F", "F", "F", "F", "F", "F", "F", "F", "F", "F", "F", "F", "F", "F", "F", "F", "F", "F", "F", "F", "Na", "Na", "Na", "Na", "Na", "Na", "Na", "Na", "Zr", "Zr", "Zr", "Zr"], "fractional_positions": [[0.093, 0.239, 0.860], [0.635, 0.816, 0.987], [0.941, 0.271, 0.685], [0.941, 0.229, 0.185], [0.475, 0.293, 0.170], [0.525, 0.793, 0.330], [0.365, 0.316, 0.513], [0.145, 0.722, 0.979], [0.907, 0.739, 0.640], [0.475, 0.207, 0.670], [0.855, 0.222, 0.521], [0.093, 0.261, 0.360], [0.059, 0.729, 0.315], [0.432, 0.694, 0.651], [0.145, 0.778, 0.479], [0.059, 0.771, 0.815], [0.568, 0.306, 0.349], [0.907, 0.761, 0.140], [0.432, 0.806, 0.151], [0.525, 0.707, 0.830], [0.855, 0.278, 0.021], [0.365, 0.184, 0.013], [0.568, 0.194, 0.849], [0.635, 0.684, 0.487], [0.826, 0.993, 0.406], [0.742, 0.960, 0.747], [0.742, 0.540, 0.247], [0.258, 0.040, 0.253], [0.174, 0.007, 0.594], [0.174, 0.493, 0.094], [0.258, 0.460, 0.753], [0.826, 0.507, 0.906], [0.320, 0.552, 0.400], [0.320, 0.948, 0.900], [0.680, 0.448, 0.600], [0.680, 0.052, 0.100]], "e_tot_ev_per_atom": -5.80, "sg": "P2_1/c"}